Entry 1:
The following is a DFT calculation (PBE-GGA) of a relaxed structure of Pm6Te3AsP2.

Uncorrected energy: -6.0186 eV/atom
Density: 6.7 Mg/m³
Uncorrected formation energy: -1816 kJ/mol of formula units
Space group: C2/m (12)

a = 9.7570 Å, b = 9.7570 Å, c = 8.7634 Å
α = 105.37°, β = 105.37°, γ = 25.21°
Last column: nearest neighbours and their distance in Å.
Fractional positions:
Pm: 0.0105 0.0105 0.2379  1 P 2.87, 2 As 2.95, 2 Te 3.18
Pm: 0.3243 0.3243 0.4367  3 P 2.88-2.90
Pm: 0.3376 0.3376 0.8918  2 P 2.89, 1 As 2.98, 3 Te 3.19-3.23
Pm: 0.6624 0.6624 0.1082  2 P 2.89, 1 As 2.98, 3 Te 3.19-3.23
Pm: 0.6757 0.6757 0.5633  3 P 2.88-2.90
Pm: 0.9895 0.9895 0.7621  1 P 2.87, 2 As 2.95, 2 Te 3.18
Te: 0.1649 0.1649 0.8328  6 Pm 3.19-3.23
Te: 0.5000 0.5000 0.5000  6 Pm 3.18-3.24
Te: 0.8351 0.8351 0.1672  6 Pm 3.19-3.23
As: 0.5000 0.5000 0.0000  6 Pm 2.95-2.98
P: 0.1672 0.1672 0.3340  6 Pm 2.87-2.90
P: 0.8328 0.8328 0.6660  6 Pm 2.87-2.90

Entry 2:
The following is a DFT calculation (PBE-GGA) of a relaxed structure of Pm4TeAsP2.

Uncorrected energy: -6.2612 eV/atom
Density: 6.5 Mg/m³
Uncorrected formation energy: -1204 kJ/mol of formula units
Space group: P2/m (10)

a = 7.3336 Å, b = 4.2206 Å, c = 7.3807 Å
α = 90.00°, β = 109.14°, γ = 90.00°
Last column: nearest neighbours and their distance in Å.
Fractional positions:
Pm: 0.2321 0.0000 0.2270  3 P 2.88-2.97, 1 As 3.03, 2 Te 3.13
Pm: 0.2454 0.5000 0.7644  3 P 2.88-2.97, 2 As 3.03, 1 Te 3.11
Pm: 0.7546 0.5000 0.2356  3 P 2.88-2.97, 2 As 3.03, 1 Te 3.11
Pm: 0.7679 0.0000 0.7730  3 P 2.88-2.97, 1 As 3.03, 2 Te 3.13
Te: 0.5000 0.5000 0.5000  6 Pm 3.11-3.13
As: 0.0000 0.0000 0.5000  6 Pm 3.03
P: 0.0000 0.5000 0.0000  6 Pm 2.88
P: 0.5000 0.0000 0.0000  6 Pm 2.97

Entry 3:
The following is a DFT calculation (PBE-GGA) of a relaxed structure of Pm8Te4As3P.

Uncorrected energy: -5.9228 eV/atom
Density: 6.9 Mg/m³
Uncorrected formation energy: -2396 kJ/mol of formula units
Space group: R-3m (166)

a = 8.8002 Å, b = 8.8002 Å, c = 8.8002 Å
α = 58.34°, β = 58.34°, γ = 58.34°
Last column: nearest neighbours and their distance in Å.
Fractional positions:
Pm: 0.2401 0.2401 0.2401  3 As 2.95, 3 Te 3.20
Pm: 0.2445 0.7364 0.7364  1 P 2.90, 2 As 2.96, 3 Te 3.20-3.25
Pm: 0.2636 0.2636 0.7555  1 P 2.90, 2 As 2.96, 3 Te 3.20-3.25
Pm: 0.2636 0.7555 0.2636  1 P 2.90, 2 As 2.96, 3 Te 3.20-3.25
Pm: 0.7364 0.2445 0.7364  1 P 2.90, 2 As 2.96, 3 Te 3.20-3.25
Pm: 0.7364 0.7364 0.2445  1 P 2.90, 2 As 2.96, 3 Te 3.20-3.25
Pm: 0.7555 0.2636 0.2636  1 P 2.90, 2 As 2.96, 3 Te 3.20-3.25
Pm: 0.7599 0.7599 0.7599  3 As 2.95, 3 Te 3.20
Te: 0.0000 0.0000 0.0000  6 Pm 3.25
Te: 0.0000 0.5000 0.5000  6 Pm 3.20
Te: 0.5000 0.0000 0.5000  6 Pm 3.20
Te: 0.5000 0.5000 0.0000  6 Pm 3.20
As: 0.0000 0.0000 0.5000  6 Pm 2.95-2.96
As: 0.0000 0.5000 0.0000  6 Pm 2.95-2.96
As: 0.5000 0.0000 0.0000  6 Pm 2.95-2.96
P: 0.5000 0.5000 0.5000  6 Pm 2.90

Entry 4:
The following is a DFT calculation (PBE-GGA) of a relaxed structure of PmThAsP.

Uncorrected energy: -7.0889 eV/atom
Density: 7.7 Mg/m³
Formation enthalpy at 0 K: -1.53 eV per atom
Space group: P4/mmm (123)

a = 4.1809 Å, b = 4.1809 Å, c = 5.9483 Å
α = 90.00°, β = 90.00°, γ = 90.00°
Last column: nearest neighbours and their distance in Å.
Fractional positions:
Pm: 0.0000 0.0000 0.0000  4 As 2.96, 2 P 2.97
Th: 0.5000 0.5000 0.5000  4 P 2.96, 2 As 2.97
As: 0.5000 0.5000 0.0000  4 Pm 2.96, 2 Th 2.97
P: 0.0000 0.0000 0.5000  4 Th 2.96, 2 Pm 2.97

Entry 5:
The following is a DFT calculation (PBE-GGA) of a relaxed structure of Pr6AsP4.

Uncorrected energy: -6.3935 eV/atom
Density: 5.7 Mg/m³
Formation enthalpy at 0 K: -1.40 eV per atom
Space group: Cmcm (63)

a = 7.2210 Å, b = 7.2210 Å, c = 21.0250 Å
α = 90.00°, β = 90.00°, γ = 146.22°
Last column: nearest neighbours and their distance in Å.
Fractional positions:
Pr: 0.0000 0.0000 0.0000  6 P 2.97
Pr: 0.0000 0.0000 0.5000  6 P 2.97
Pr: 0.1822 0.8178 0.7500  2 P 2.86, 2 As 3.00
Pr: 0.2747 0.7253 0.0818  5 P 2.89-2.97
Pr: 0.2747 0.7253 0.4182  5 P 2.89-2.97
Pr: 0.4553 0.5447 0.6620  3 P 2.82-2.89
Pr: 0.4553 0.5447 0.8380  3 P 2.82-2.89
Pr: 0.5447 0.4553 0.1620  3 P 2.82-2.89
Pr: 0.5447 0.4553 0.3380  3 P 2.82-2.89
Pr: 0.7253 0.2747 0.5818  5 P 2.89-2.97
Pr: 0.7253 0.2747 0.9182  5 P 2.89-2.97
Pr: 0.8178 0.1822 0.2500  2 P 2.86, 2 As 3.00
As: 0.1631 0.8369 0.2500  6 Pr 3.00-3.24
As: 0.8369 0.1631 0.7500  6 Pr 3.00-3.24
P: 0.0901 0.9099 0.6282  6 Pr 2.86-2.97
P: 0.0901 0.9099 0.8718  6 Pr 2.86-2.97
P: 0.3627 0.6373 0.5428  6 Pr 2.82-2.97
P: 0.3627 0.6373 0.9572  6 Pr 2.82-2.97
P: 0.6373 0.3627 0.0428  6 Pr 2.82-2.97
P: 0.6373 0.3627 0.4572  6 Pr 2.82-2.97
P: 0.9099 0.0901 0.1282  6 Pr 2.86-2.97
P: 0.9099 0.0901 0.3718  6 Pr 2.86-2.97

Entry 6:
The following is a DFT calculation (PBE-GGA) of a relaxed structure of Pr8AsP5.

Uncorrected energy: -6.2674 eV/atom
Density: 6.3 Mg/m³
Formation enthalpy at 0 K: -1.27 eV per atom
Space group: I-4 (82)

a = 7.7423 Å, b = 7.7423 Å, c = 7.7423 Å
α = 109.35°, β = 109.35°, γ = 109.71°
Last column: nearest neighbours and their distance in Å.
Fractional positions:
Pr: 0.1262 0.7480 0.7513  3 P 2.91-2.92
Pr: 0.1320 0.2472 0.7557  4 P 2.91-3.26, 1 As 2.98
Pr: 0.2520 0.0033 0.3783  3 P 2.91-2.92
Pr: 0.4915 0.3763 0.2443  4 P 2.91-3.26, 1 As 2.98
Pr: 0.6237 0.8680 0.1152  4 P 2.91-3.26, 1 As 2.98
Pr: 0.6251 0.8738 0.6217  3 P 2.91-2.92
Pr: 0.7528 0.5085 0.8848  4 P 2.91-3.26, 1 As 2.98
Pr: 0.9967 0.3749 0.2487  3 P 2.91-2.92
As: 0.7500 0.2500 0.5000  8 Pr 2.98-3.29
P: 0.0000 0.0000 0.0000  8 Pr 2.92-3.26
P: 0.2484 0.6263 0.1239  4 Pr 2.91-2.92
P: 0.3737 0.4976 0.6221  4 Pr 2.91-2.92
P: 0.5024 0.1245 0.8761  4 Pr 2.91-2.92
P: 0.8755 0.7516 0.3779  4 Pr 2.91-2.92

Entry 7:
The following is a DFT calculation (PBE-GGA) of a relaxed structure of PrAsP.

Uncorrected energy: -5.7192 eV/atom
Density: 5.1 Mg/m³
Formation enthalpy at 0 K: -0.77 eV per atom
Space group: I4/mmm (139)

a = 4.0510 Å, b = 4.0510 Å, c = 19.5997 Å
α = 90.00°, β = 90.00°, γ = 90.00°
Last column: nearest neighbours and their distance in Å.
Fractional positions:
Pr: 0.0000 0.0000 0.1535  5 P 2.97-3.00, 4 As 3.25
Pr: 0.0000 0.0000 0.8465  5 P 2.97-3.00, 4 As 3.25
Pr: 0.5000 0.5000 0.3465  5 P 2.97-3.00, 4 As 3.25
Pr: 0.5000 0.5000 0.6535  5 P 2.97-3.00, 4 As 3.25
As: 0.0000 0.0000 0.4245  1 P 2.31
As: 0.0000 0.0000 0.5755  1 P 2.31
As: 0.5000 0.5000 0.0755  1 P 2.31
As: 0.5000 0.5000 0.9245  1 P 2.31
P: 0.0000 0.0000 0.3067  1 As 2.31
P: 0.0000 0.0000 0.6933  1 As 2.31
P: 0.5000 0.5000 0.1933  1 As 2.31
P: 0.5000 0.5000 0.8067  1 As 2.31

Entry 8:
The following is a DFT calculation (PBE-GGA) of a relaxed structure of Pr7AsP5.

Uncorrected energy: -6.4317 eV/atom
Density: 5.6 Mg/m³
Formation enthalpy at 0 K: -1.42 eV per atom
Space group: Cmcm (63)

a = 7.2348 Å, b = 7.2348 Å, c = 24.6383 Å
α = 90.00°, β = 90.00°, γ = 146.29°
Last column: nearest neighbours and their distance in Å.
Fractional positions:
Pr: 0.0461 0.9539 0.7500  2 P 2.87, 2 As 3.00
Pr: 0.1368 0.8632 0.0353  6 P 2.96-3.00
Pr: 0.1368 0.8632 0.4647  6 P 2.96-3.00
Pr: 0.3195 0.6805 0.6752  3 P 2.81-2.90
Pr: 0.3195 0.6805 0.8248  3 P 2.81-2.90
Pr: 0.4115 0.5885 0.1050  5 P 2.86-2.98
Pr: 0.4115 0.5885 0.3950  5 P 2.86-2.98
Pr: 0.5885 0.4115 0.6050  5 P 2.86-2.98
Pr: 0.5885 0.4115 0.8950  5 P 2.86-2.98
Pr: 0.6805 0.3195 0.1752  3 P 2.81-2.90
Pr: 0.6805 0.3195 0.3248  3 P 2.81-2.90
Pr: 0.8632 0.1368 0.5353  6 P 2.96-3.00
Pr: 0.8632 0.1368 0.9647  6 P 2.96-3.00
Pr: 0.9539 0.0461 0.2500  2 P 2.87, 2 As 3.00
As: 0.2991 0.7009 0.2500  6 Pr 3.00-3.24
As: 0.7009 0.2991 0.7500  6 Pr 3.00-3.24
P: 0.0460 0.9540 0.1458  6 Pr 2.87-3.00
P: 0.0460 0.9540 0.3542  6 Pr 2.87-3.00
P: 0.2270 0.7730 0.5738  6 Pr 2.81-2.98
P: 0.2270 0.7730 0.9262  6 Pr 2.81-2.98
P: 0.5000 0.5000 0.0000  6 Pr 2.86-2.96
P: 0.5000 0.5000 0.5000  6 Pr 2.86-2.96
P: 0.7730 0.2270 0.0738  6 Pr 2.81-2.98
P: 0.7730 0.2270 0.4262  6 Pr 2.81-2.98
P: 0.9540 0.0460 0.6458  6 Pr 2.87-3.00
P: 0.9540 0.0460 0.8542  6 Pr 2.87-3.00

Entry 9:
The following is a DFT calculation (PBE-GGA) of a relaxed structure of Pr3AsP2.

Uncorrected energy: -6.4743 eV/atom
Density: 5.7 Mg/m³
Formation enthalpy at 0 K: -1.51 eV per atom
Space group: I4/mmm (139)

a = 4.2406 Å, b = 4.2406 Å, c = 17.9866 Å
α = 90.00°, β = 90.00°, γ = 90.00°
Last column: nearest neighbours and their distance in Å.
Fractional positions:
Pr: 0.0000 0.0000 0.0000  2 P 3.00, 4 As 3.00
Pr: 0.0000 0.0000 0.3310  5 P 2.96-3.00, 1 As 3.04
Pr: 0.0000 0.0000 0.6690  5 P 2.96-3.00, 1 As 3.04
Pr: 0.5000 0.5000 0.1690  5 P 2.96-3.00, 1 As 3.04
Pr: 0.5000 0.5000 0.5000  2 P 3.00, 4 As 3.00
Pr: 0.5000 0.5000 0.8310  5 P 2.96-3.00, 1 As 3.04
As: 0.0000 0.0000 0.5000  6 Pr 3.00-3.04
As: 0.5000 0.5000 0.0000  6 Pr 3.00-3.04
P: 0.0000 0.0000 0.1667  6 Pr 2.96-3.00
P: 0.0000 0.0000 0.8333  6 Pr 2.96-3.00
P: 0.5000 0.5000 0.3333  6 Pr 2.96-3.00
P: 0.5000 0.5000 0.6667  6 Pr 2.96-3.00

Entry 10:
The following is a DFT calculation (PBE-GGA) of a relaxed structure of Pr8As6P.

Uncorrected energy: -5.8443 eV/atom
Density: 6.2 Mg/m³
Formation enthalpy at 0 K: -1.07 eV per atom
Space group: P-3 (147)

a = 10.4843 Å, b = 10.4843 Å, c = 4.5557 Å
α = 90.00°, β = 90.00°, γ = 120.00°
Last column: nearest neighbours and their distance in Å.
Fractional positions:
Pr: 0.0299 0.3116 0.2389  4 As 2.91-3.16
Pr: 0.2817 0.9701 0.2389  4 As 2.91-3.16
Pr: 0.3116 0.2817 0.7611  4 As 2.91-3.16
Pr: 0.3333 0.6667 0.7531  6 As 3.11-3.13
Pr: 0.6667 0.3333 0.2469  6 As 3.11-3.13
Pr: 0.6884 0.7183 0.2389  4 As 2.91-3.16
Pr: 0.7183 0.0299 0.7611  4 As 2.91-3.16
Pr: 0.9701 0.6884 0.7611  4 As 2.91-3.16
As: 0.1220 0.6486 0.2567  6 Pr 2.91-3.16
As: 0.3514 0.4734 0.2567  6 Pr 2.91-3.16
As: 0.4734 0.1220 0.7433  6 Pr 2.91-3.16
As: 0.5266 0.8780 0.2567  6 Pr 2.91-3.16
As: 0.6486 0.5266 0.7433  6 Pr 2.91-3.16
As: 0.8780 0.3514 0.7433  6 Pr 2.91-3.16
P: 0.0000 0.0000 0.0000  6 Pr 3.31

Entry 11:
The following is a DFT calculation (PBE-GGA) of a relaxed structure of Pr6As4P.

Uncorrected energy: -6.1237 eV/atom
Density: 6.1 Mg/m³
Formation enthalpy at 0 K: -1.33 eV per atom
Space group: Cmcm (63)

a = 7.3917 Å, b = 7.3917 Å, c = 21.2002 Å
α = 90.00°, β = 90.00°, γ = 146.66°
Last column: nearest neighbours and their distance in Å.
Fractional positions:
Pr: 0.0000 0.0000 0.0000  6 As 3.02-3.05
Pr: 0.0000 0.0000 0.5000  6 As 3.02-3.05
Pr: 0.1939 0.8061 0.7500  2 P 2.93, 2 As 2.93
Pr: 0.2756 0.7244 0.0835  5 As 2.96-3.03
Pr: 0.2756 0.7244 0.4165  5 As 2.96-3.03
Pr: 0.4506 0.5494 0.6658  3 As 2.88-2.98, 2 P 3.21
Pr: 0.4506 0.5494 0.8342  3 As 2.88-2.98, 2 P 3.21
Pr: 0.5494 0.4506 0.1658  3 As 2.88-2.98, 2 P 3.21
Pr: 0.5494 0.4506 0.3342  3 As 2.88-2.98, 2 P 3.21
Pr: 0.7244 0.2756 0.5835  5 As 2.96-3.03
Pr: 0.7244 0.2756 0.9165  5 As 2.96-3.03
Pr: 0.8061 0.1939 0.2500  2 P 2.93, 2 As 2.93
As: 0.0887 0.9113 0.6310  6 Pr 2.93-3.05
As: 0.0887 0.9113 0.8690  6 Pr 2.93-3.05
As: 0.3626 0.6374 0.5434  6 Pr 2.88-3.02
As: 0.3626 0.6374 0.9566  6 Pr 2.88-3.02
As: 0.6374 0.3626 0.0434  6 Pr 2.88-3.02
As: 0.6374 0.3626 0.4566  6 Pr 2.88-3.02
As: 0.9113 0.0887 0.1310  6 Pr 2.93-3.05
As: 0.9113 0.0887 0.3690  6 Pr 2.93-3.05
P: 0.1636 0.8364 0.2500  6 Pr 2.93-3.21
P: 0.8364 0.1636 0.7500  6 Pr 2.93-3.21

Entry 12:
The following is a DFT calculation (PBE-GGA) of a relaxed structure of Pr3As2P.

ΔE to the lowest computed polymorph: 0.013 eV/f.u.
Uncorrected energy: -6.3438 eV/atom
Density: 6.1 Mg/m³
Formation enthalpy at 0 K: -1.50 eV per atom
Space group: C2/c (15)

a = 7.4028 Å, b = 7.4028 Å, c = 7.4001 Å
α = 99.58°, β = 99.58°, γ = 119.98°
Last column: nearest neighbours and their distance in Å.
Fractional positions:
Pr: 0.0000 0.5000 0.5000  2 P 3.02, 4 As 3.02
Pr: 0.1627 0.3254 0.0001  2 P 2.99, 4 As 3.02-3.06
Pr: 0.3254 0.1627 0.5001  2 P 2.99, 4 As 3.02-3.06
Pr: 0.5000 0.0000 0.0000  2 P 3.02, 4 As 3.02
Pr: 0.6746 0.8373 0.4999  2 P 2.99, 4 As 3.02-3.06
Pr: 0.8373 0.6746 0.9999  2 P 2.99, 4 As 3.02-3.06
As: 0.2509 0.7491 0.2500  6 Pr 3.02-3.05
As: 0.4167 0.5833 0.7500  6 Pr 3.02-3.06
As: 0.5833 0.4167 0.2500  6 Pr 3.02-3.06
As: 0.7491 0.2509 0.7500  6 Pr 3.02-3.05
P: 0.0840 0.9160 0.7500  6 Pr 2.99-3.02
P: 0.9160 0.0840 0.2500  6 Pr 2.99-3.02